! Na2CrF | Alexandria | PBE+U | optimized geometry; values from VASP
&SYSTEM
  ibrav = 0, nat = 8, ntyp = 3
/
ATOMIC_SPECIES
Cr 52.00 Cr.upf
F 19.00 F.upf
Na 22.99 Na.upf
ATOMIC_POSITIONS crystal
Cr 0.0000 0.0000 0.0000
Cr 0.7500 0.2500 0.5000
F 0.5000 0.5000 0.0000
F 0.2500 0.7500 0.5000
Na 0.4908 0.1250 0.2500
Na 0.2592 0.6250 0.2500
Na 0.3750 0.5092 0.7500
Na 0.8750 0.7408 0.7500
CELL_PARAMETERS angstrom
-3.5029 5.6101 -1.9361
-0.6557 -2.6003 -6.3483
-5.7507 -0.3889 -2.9873
! - Energy above the lowest structure with this stoichiometry: 0.000 eV per atom
! - Calculated volume: 25.5 Å³ per atom
! - SG: I-42d (122)
! - Total moment: 1.305 μB/atom